DFT (GGA-PBE) results for Tl3VRh2Se6 after structural relaxation.

```
12
Lattice="-3.332 1.055 -5.669 4.757 -4.654 0.249 -5.451 -3.774 3.811" Properties=species:S:1:pos:R:3 pbc="T T T"
Tl -4.728 -1.770 -2.790
Tl 0.702 -5.602 1.181
Tl -2.013 -3.686 -0.805
Se -4.754 -4.924 -2.043
Se -2.000 -0.523 -1.561
Se -4.110 -4.127 1.638
Se -2.025 -6.849 -0.048
Se 0.728 -2.448 0.434
Se 0.085 -3.245 -3.247
V 0.000 0.000 0.000
Rh -0.635 -0.848 -3.696
Rh 2.061 -2.750 -1.724
```

**Space-group type**: C2/m, No. 12
**Raw formation energy**: -0.413 eV/atom
**Fermi-level density of states**: 0.61 states/eV/atom
**VASP energy**: -4.732 eV/atom